Entry 1:
{"formula": "RbYZrSb2", "functional": "PBE", "state": "relaxed", "dft_energy_ev_per_atom": -4.03, "sg": "P4/mmm, No. 123", "formation_energy_uncorrected_ev_per_atom": 0.81, "m_tot_mub_per_fu": 2.65, "cell": [[5.7692, 0.0000, 0.0000], [0.0000, 5.7715, 0.0000], [0.0000, 0.0000, 5.7692]], "species": ["Y", "Rb", "Sb", "Sb", "Zr"], "frac_coords": [[0.0000, 0.0000, 0.0000], [0.0000, 0.5000, 0.0000], [0.5000, 0.0000, 0.0000], [0.0000, 0.0000, 0.5000], [0.5000, 0.5000, 0.5000]]}



Entry 2:
{"formula": "RbZnSb2", "functional": "PBE", "state": "relaxed", "dft_energy_ev_per_atom": -2.68, "sg": "R-3m, No. 166", "formation_energy_uncorrected_ev_per_atom": -0.06, "m_tot_mub_per_fu": 0.00, "cell": [[-4.7533, 0.0837, 1.4266], [-2.6966, -4.1657, -0.1061], [-0.6427, -2.7104, 6.6519]], "species": ["Zn", "Rb", "Sb", "Sb"], "frac_coords": [[0.0000, 0.0000, 0.0000], [0.5000, 0.5000, 0.5000], [0.6994, 0.6994, 0.9019], [0.3006, 0.3006, 0.0981]]}



Entry 3:
{"formula": "RbZnSb2", "functional": "PBE", "state": "relaxed", "dft_energy_ev_per_atom": -2.86, "sg": "Fmm2, No. 42", "formation_energy_uncorrected_ev_per_atom": -0.24, "m_tot_mub_per_fu": 0.00, "cell": [[4.3392, -0.0021, 0.0000], [-0.1714, 4.3358, 0.0000], [-2.0839, -2.1669, 14.4386]], "species": ["Zn", "Zn", "Sb", "Sb", "Sb", "Sb", "Rb", "Rb"], "frac_coords": [[0.7588, 0.2588, 0.5000], [0.2588, 0.7588, 0.5000], [0.6992, 0.6992, 0.3812], [0.9515, 0.4967, 0.0000], [0.4967, 0.9515, 0.0000], [0.3181, 0.3181, 0.6188], [0.1237, 0.1237, 0.2309], [0.8928, 0.8928, 0.7691]]}